No. 1
The following is a DFT calculation (PBE-GGA) of an optimized crystal structure of YAs2Se.

Cell: 7.509 7.509 7.509 Å, 32.13 32.13 32.13°
Atoms (fractional coordinates):
As (0.991, 0.991, 0.991)
Se (0.482, 0.482, 0.482)
As (0.280, 0.280, 0.280)
Y (0.748, 0.748, 0.748)

Properties
**DOS(E_F)**: 0.814 states/eV/cell
**ΔE_f (raw)**: -0.75 eV per atom
**Symmetry**: R3m
**Calculated density**: 5.0 g/cm3
**Volume**: 106.4 Å³ per cell

No. 2
The following is a DFT calculation (PBE-GGA) of an optimized crystal structure of NbCu2Rh.

Cell: 7.004 7.004 5.551 Å, 50.88 50.88 90.00°
Atoms (fractional coordinates):
Nb (0.500, 0.500, 0.000)
Nb (0.250, 0.750, 0.500)
Cu (0.635, 0.125, 0.250)
Cu (0.875, 0.885, 0.750)
Rh (0.000, 0.000, 0.000)
Cu (0.375, 0.365, 0.750)
Cu (0.115, 0.625, 0.250)
Rh (0.750, 0.250, 0.500)

Properties
**DOS(E_F)**: 9.286 states/eV/cell
**Formation energy**: 406 meV per atom
**Symmetry**: I-42d
**Calculated density**: 8.7 g/cm3
**Volume**: 123.0 Å³ per cell

No. 3
The following is a DFT calculation (PBE-GGA) of an optimized crystal structure of Ce5Te5O2.

Cell: 4.090 7.385 11.258 Å, 99.46 90.00 106.08°
Site moments in Bohr magnetons follow the coordinates.
Atoms (fractional coordinates):
O (0.955, 0.910, 0.194)  -0.01
Te (0.335, 0.669, 0.906)  -0.01
Te (0.777, 0.554, 0.386)  0.00
Ce (0.902, 0.803, 0.663)  -0.85
O (0.045, 0.090, 0.806)  -0.01
Te (0.665, 0.331, 0.094)  -0.01
Ce (0.000, 0.000, 0.000)  0.91
Ce (0.360, 0.720, 0.208)  0.93
Te (0.500, 0.000, 0.500)  0.02
Ce (0.098, 0.197, 0.337)  -0.85
Te (0.223, 0.446, 0.614)  0.00
Ce (0.640, 0.280, 0.792)  0.93

Properties
**DOS(E_F)**: 32.372 states/eV/cell
**ΔE_f (raw)**: -1.84 eV per atom
**Symmetry**: C2/m
**Calculated density**: 7.1 g/cm3
**Volume**: 322.0 Å³ per cell

No. 4
The following is a DFT calculation (PBE-GGA) of an optimized crystal structure of K2Ir3PdO12.

Cell: 7.096 7.096 7.096 Å, 61.53 61.53 61.53°
Site moments in Bohr magnetons follow the coordinates.
Atoms (fractional coordinates):
Ir (0.500, 0.000, 0.000)  0.18
Ir (0.000, 0.000, 0.500)  0.18
O (0.918, 0.339, 0.918)  0.02
O (0.683, 0.683, 0.079)  0.04
O (0.661, 0.082, 0.082)  0.02
O (0.082, 0.661, 0.082)  0.02
Pd (0.000, 0.000, 0.000)  -0.01
O (0.339, 0.918, 0.918)  0.02
O (0.079, 0.683, 0.683)  0.04
K (0.379, 0.379, 0.379)  0.00
O (0.683, 0.079, 0.683)  0.04
K (0.621, 0.621, 0.621)  0.00
Ir (0.000, 0.500, 0.000)  0.18
O (0.317, 0.921, 0.317)  0.04
O (0.918, 0.918, 0.339)  0.02
O (0.317, 0.317, 0.921)  0.04
O (0.082, 0.082, 0.661)  0.02
O (0.921, 0.317, 0.317)  0.04

Properties
**DOS(E_F)**: 14.052 states/eV/cell
**ΔE_f (raw)**: -0.79 eV per atom
**Symmetry**: R-3m
**Calculated density**: 6.1 g/cm3
**Volume**: 261.3 Å³ per cell

No. 5
The following is a DFT calculation (PBE-GGA) of an optimized crystal structure of SrHoReO6.

Cell: 5.554 5.554 5.242 Å, 90.00 90.00 60.00°
Atoms (fractional coordinates):
O (0.608, 0.348, 0.707)
Sr (0.000, 0.000, 0.000)
O (0.348, 0.608, 0.293)
Ho (0.667, 0.667, 0.500)
Re (0.333, 0.333, 0.500)
O (0.044, 0.608, 0.707)
O (0.348, 0.044, 0.707)
O (0.608, 0.044, 0.293)
O (0.044, 0.348, 0.293)

Properties
**DOS(E_F)**: 0.000 states/eV/cell
**ΔE_f (raw)**: -2.50 eV per atom
**Symmetry**: P312
**Calculated density**: 6.3 g/cm3
**Volume**: 140.1 Å³ per cell

No. 6
The following is a DFT calculation (PBE-GGA) of an optimized crystal structure of AlReMo2.

Cell: 9.136 9.136 9.136 Å, 17.79 17.79 17.79°
Atoms (fractional coordinates):
Re (0.250, 0.250, 0.250)
Mo (0.501, 0.501, 0.501)
Mo (0.999, 0.999, 0.999)
Al (0.750, 0.750, 0.750)

Properties
**DOS(E_F)**: 3.622 states/eV/cell
**Formation energy**: 72 meV per atom
**Symmetry**: R-3m
**Calculated density**: 10.8 g/cm3
**Volume**: 62.2 Å³ per cell

No. 7
The following is a DFT calculation (PBE-GGA) of an optimized crystal structure of Tb2YCu.

Cell: 3.591 3.591 10.172 Å, 79.83 79.83 60.00°
Atoms (fractional coordinates):
Tb (0.265, 0.265, 0.205)
Y (0.500, 0.500, 0.500)
Cu (0.000, 0.000, 0.000)
Tb (0.735, 0.735, 0.795)

Properties
**DOS(E_F)**: 4.763 states/eV/cell
**ΔE to the lowest computed polymorph**: 0.56 eV per formula unit
**Formation energy**: 35 meV per atom
**Symmetry**: R-3m
**Calculated density**: 7.0 g/cm3
**Volume**: 111.2 Å³ per cell

No. 8
The following is a DFT calculation (PBE-GGA) of an optimized crystal structure of La3FeRe.

Cell: 5.509 5.509 5.509 Å, 90.00 90.00 90.00°
Site moments in Bohr magnetons follow the coordinates.
Atoms (fractional coordinates):
Re (0.000, 0.000, 0.000)  0.06
La (0.000, 0.000, 0.500)  -0.05
La (0.500, 0.000, 0.000)  -0.11
La (0.000, 0.500, 0.000)  -0.06
Fe (0.500, 0.500, 0.500)  3.12

Properties
**DOS(E_F)**: 19.498 states/eV/cell
**Formation energy**: 658 meV per atom
**Symmetry**: Pm-3m
**Calculated density**: 6.5 g/cm3
**Volume**: 167.2 Å³ per cell

No. 9
The following is a DFT calculation (PBE-GGA) of an optimized crystal structure of KCd2Sb.

Cell: 5.403 3.555 6.173 Å, 90.04 90.00 90.00°
Atoms (fractional coordinates):
K (0.500, 0.250, 0.250)
Sb (0.500, 0.750, 0.750)
Cd (0.000, 0.749, 0.002)
Cd (0.000, 0.751, 0.498)

Properties
**DOS(E_F)**: 2.150 states/eV/cell
**ΔE_f (raw)**: -0.10 eV per atom
**Symmetry**: Pmmm
**Calculated density**: 5.4 g/cm3
**Volume**: 118.6 Å³ per cell

No. 10
The following is a DFT calculation (PBE-GGA) of an optimized crystal structure of SrCd3Pb3.

Cell: 7.323 7.323 9.920 Å, 68.34 68.34 60.00°
Atoms (fractional coordinates):
Pb (0.762, 0.248, 0.800)
Pb (0.811, 0.238, 0.200)
Pb (0.248, 0.189, 0.800)
Pb (0.752, 0.811, 0.200)
Cd (0.748, 0.071, 0.571)
Sr (0.301, 0.301, 0.098)
Cd (0.071, 0.610, 0.571)
Cd (0.252, 0.929, 0.429)
Cd (0.929, 0.390, 0.429)
Cd (0.610, 0.748, 0.571)
Pb (0.238, 0.752, 0.200)
Cd (0.390, 0.252, 0.429)
Sr (0.699, 0.699, 0.902)
Pb (0.189, 0.762, 0.800)

Properties
**DOS(E_F)**: 5.789 states/eV/cell
**ΔE to the lowest computed polymorph**: 0.00 eV per formula unit
**Formation energy**: -130 meV per atom
**Symmetry**: R-3
**Calculated density**: 8.3 g/cm3
**Volume**: 416.8 Å³ per cell

No. 11
The following is a DFT calculation (PBE-GGA) of an optimized crystal structure of Ba2CaSb.

Cell: 4.575 4.575 8.334 Å, 90.00 90.00 90.00°
Atoms (fractional coordinates):
Ca (0.500, 0.500, 0.250)
Ba (0.000, 0.000, 0.956)
Ba (0.000, 0.000, 0.544)
Sb (0.500, 0.500, 0.750)

Properties
**DOS(E_F)**: 3.142 states/eV/cell
**ΔE_f (raw)**: -0.52 eV per atom
**Symmetry**: P4/mmm
**Calculated density**: 4.2 g/cm3
**Volume**: 174.4 Å³ per cell

No. 12
The following is a DFT calculation (PBE-GGA) of an optimized crystal structure of Ce2PmW2C4.

Cell: 3.457 8.550 5.762 Å, 93.16 90.00 101.66°
Site moments in Bohr magnetons follow the coordinates.
Atoms (fractional coordinates):
C (0.593, 0.185, 0.844)  0.00
Pm (0.000, 0.000, 0.000)  0.01
Ce (0.157, 0.313, 0.577)  0.21
C (0.763, 0.527, 0.775)  0.00
Ce (0.843, 0.687, 0.423)  0.21
C (0.237, 0.473, 0.225)  0.00
W (0.688, 0.375, 0.062)  0.00
C (0.407, 0.815, 0.156)  0.00
W (0.312, 0.625, 0.938)  0.00

Properties
**DOS(E_F)**: 8.965 states/eV/cell
**Formation energy**: -22 meV per atom
**Symmetry**: C2/m
**Calculated density**: 8.4 g/cm3
**Volume**: 166.5 Å³ per cell

> What is the calculated density in the seventh record?

7.0 g/cm3